1.
Hg2PbI2 | PBE-GGA | optimized geometry

As for the polymorph energy (0 for the lowest one): 0 meV per atom.

abc: 11.045 11.045 11.045
angles: 158.21 158.21 31.01
Element x y z (fractional)
Hg: 0.250 0.750 0.500
Hg: 0.750 0.250 0.500
Pb: 0.000 0.000 0.000
I: 0.411 0.411 0.000
I: 0.589 0.589 0.000



2.
Hg2PbI6 | PBE-GGA | optimized geometry

As for the polymorph energy (0 for the lowest one): 0 meV per atom.

abc: 10.195 10.195 7.995
angles: 97.71 97.71 85.47
Element x y z (fractional)
Hg: 0.100 0.264 0.323
Hg: 0.264 0.100 0.823
Hg: 0.736 0.900 0.177
Hg: 0.900 0.736 0.677
Pb: 0.395 0.605 0.750
Pb: 0.605 0.395 0.250
I: 0.032 0.218 0.641
I: 0.118 0.632 0.891
I: 0.218 0.032 0.141
I: 0.294 0.468 0.364
I: 0.368 0.882 0.609
I: 0.468 0.294 0.864
I: 0.532 0.706 0.136
I: 0.632 0.118 0.391
I: 0.706 0.532 0.636
I: 0.782 0.968 0.859
I: 0.882 0.368 0.109
I: 0.968 0.782 0.359



3.
Hg3PbI9 | PBE-GGA | optimized geometry

abc: 11.263 11.263 15.249
angles: 124.44 124.44 57.76
Element x y z (fractional)
Hg: 0.150 0.850 0.500
Hg: 0.420 0.785 0.840
Hg: 0.648 0.951 0.390
Hg: 0.785 0.420 0.340
Hg: 0.850 0.150 0.000
Hg: 0.951 0.648 0.890
Pb: 0.259 0.367 0.184
Pb: 0.367 0.259 0.684
I: 0.049 0.356 0.699
I: 0.054 0.498 0.555
I: 0.139 0.957 0.718
I: 0.155 0.639 0.105
I: 0.197 0.529 0.412
I: 0.356 0.049 0.199
I: 0.360 0.920 0.506
I: 0.433 0.579 0.893
I: 0.498 0.054 0.055
I: 0.529 0.197 0.912
I: 0.579 0.433 0.393
I: 0.639 0.155 0.605
I: 0.645 0.647 0.747
I: 0.647 0.645 0.247
I: 0.858 0.970 0.350
I: 0.920 0.360 0.006
I: 0.957 0.139 0.218
I: 0.970 0.858 0.850



4.
HgPb4I8 | PBE-GGA | optimized geometry

abc: 11.522 11.522 15.301
angles: 128.53 128.53 23.49
Element x y z (fractional)
Hg: 0.000 0.000 0.000
Pb: 0.139 0.139 0.453
Pb: 0.332 0.332 0.159
Pb: 0.652 0.652 0.821
Pb: 0.846 0.846 0.527
I: 0.030 0.030 0.755
I: 0.281 0.281 0.909
I: 0.322 0.322 0.654
I: 0.369 0.369 0.406
I: 0.614 0.614 0.573
I: 0.662 0.662 0.326
I: 0.703 0.703 0.071
I: 0.953 0.953 0.225



5.
Hg4PbI | PBE-GGA | optimized geometry

abc: 6.339 6.339 6.339
angles: 60.00 60.00 60.00
Element x y z (fractional)
Hg: 0.125 0.125 0.125
Hg: 0.125 0.125 0.625
Hg: 0.125 0.625 0.125
Hg: 0.625 0.125 0.125
Pb: 0.750 0.750 0.750
I: 0.500 0.500 0.500



6.
Hg3Pb5I12 | PBE-GGA | optimized geometry

abc: 17.138 17.138 17.138
angles: 109.47 109.47 109.47
Element x y z (fractional)
Hg: 0.125 0.250 0.375
Hg: 0.125 0.375 0.750
Hg: 0.250 0.375 0.125
Hg: 0.250 0.875 0.625
Hg: 0.375 0.125 0.250
Hg: 0.375 0.750 0.125
Hg: 0.625 0.250 0.875
Hg: 0.625 0.875 0.750
Hg: 0.750 0.125 0.375
Hg: 0.750 0.625 0.875
Hg: 0.875 0.625 0.250
Hg: 0.875 0.750 0.625
Pb: 0.000 0.000 0.000
Pb: 0.000 0.000 0.500
Pb: 0.000 0.500 0.000
Pb: 0.000 0.500 0.500
Pb: 0.125 0.750 0.875
Pb: 0.125 0.875 0.250
Pb: 0.250 0.125 0.875
Pb: 0.250 0.625 0.375
Pb: 0.375 0.250 0.625
Pb: 0.375 0.625 0.750
Pb: 0.500 0.000 0.000
Pb: 0.500 0.000 0.500
Pb: 0.500 0.500 0.000
Pb: 0.500 0.500 0.500
Pb: 0.625 0.375 0.250
Pb: 0.625 0.750 0.375
Pb: 0.750 0.375 0.625
Pb: 0.750 0.875 0.125
Pb: 0.875 0.125 0.750
Pb: 0.875 0.250 0.125
I: 0.040 0.216 0.118
I: 0.040 0.324 0.922
I: 0.078 0.618 0.402
I: 0.078 0.960 0.676
I: 0.098 0.716 0.676
I: 0.098 0.882 0.422
I: 0.118 0.040 0.216
I: 0.118 0.578 0.902
I: 0.176 0.216 0.598
I: 0.176 0.460 0.578
I: 0.216 0.118 0.040
I: 0.216 0.598 0.176
I: 0.284 0.324 0.902
I: 0.284 0.460 0.382
I: 0.324 0.902 0.284
I: 0.324 0.922 0.040
I: 0.382 0.284 0.460
I: 0.382 0.598 0.922
I: 0.402 0.078 0.618
I: 0.402 0.824 0.784
I: 0.422 0.098 0.882
I: 0.422 0.824 0.540
I: 0.460 0.382 0.284
I: 0.460 0.578 0.176
I: 0.540 0.422 0.824
I: 0.540 0.618 0.716
I: 0.578 0.176 0.460
I: 0.578 0.902 0.118
I: 0.598 0.176 0.216
I: 0.598 0.922 0.382
I: 0.618 0.402 0.078
I: 0.618 0.716 0.540
I: 0.676 0.078 0.960
I: 0.676 0.098 0.716
I: 0.716 0.540 0.618
I: 0.716 0.676 0.098
I: 0.784 0.402 0.824
I: 0.784 0.882 0.960
I: 0.824 0.540 0.422
I: 0.824 0.784 0.402
I: 0.882 0.422 0.098
I: 0.882 0.960 0.784
I: 0.902 0.118 0.578
I: 0.902 0.284 0.324
I: 0.922 0.040 0.324
I: 0.922 0.382 0.598
I: 0.960 0.676 0.078
I: 0.960 0.784 0.882



| no. | electronic total energy (eV/atom) | ΔE_f (raw) (eV per atom) | calculated density (Mg/m³) |
| --- | --- | --- | --- |
| 1 | -1.7289 | -0.25 | 7.71 |
| 2 | -1.9014 | -0.39 | 5.59 |
| 3 | -1.7033 | -0.28 | 5.19 |
| 4 | -2.6945 | -0.58 | 5.44 |
| 5 | -1.0280 | 0.05 | 10.48 |
| 6 | -2.2543 | -0.35 | 5.42 |